[1]
A geometry-optimized CoNiW2 structure, computed with PBE.

a b c (Å): 4.266 4.266 4.266
angles (deg): 60.00 60.00 60.00
Positions (direct):
Co (0.500, 0.500, 0.500)
Ni (0.750, 0.750, 0.750)
W (0.250, 0.250, 0.250)
W (0.000, 0.000, 0.000)

## Properties
ΔE to the lowest computed polymorph, meV/atom: 244



[2]
A geometry-optimized KBa2MgTc structure, computed with PBE.

a b c (Å): 5.798 6.438 5.798
angles (deg): 90.00 90.00 90.00
Positions (direct):
K (0.000, 0.500, 0.000)
Ba (0.000, 0.000, 0.500)
Tc (0.000, 0.000, 0.000)
Ba (0.500, 0.000, 0.000)
Mg (0.500, 0.500, 0.500)



no.,DFT total energy (eV per atom),ΔH_f (0 K) (eV/atom)
1,-9.41,0.285
2,-2.64,0.742